Entry 1
Here is Y2MgTaCd at its PBEsol-relaxed geometry from Alexandria. Energies are from SCAN.

Values from the calculation:
- Magnetization: 0.0 μB/f.u.
- DOS(E_F): 2.28 states/eV/f.u.

Lattice parameters (Å, degrees): 5.3131 5.3131 4.9063 90.00 90.00 90.00
Last column: nearest neighbours and their distance in Å.
Space group P4/mmm (No. 123)
Unique sites:
Y  0.0000  0.5000  0.0000 x2  2 Mg 2.66
Mg  0.0000  0.0000  0.0000 x1  2 Ta 2.45, 4 Y 2.66
Ta  0.0000  0.0000  0.5000 x1  2 Mg 2.45
Cd  0.5000  0.5000  0.5000 x1  8 Y 3.62, 4 Ta 3.76


Entry 2
Here is Y2MgTaCd at its PBEsol-relaxed geometry from Alexandria. Energies are from SCAN.

Values from the calculation:
- Magnetization: 0.0 μB/f.u.
- DOS(E_F): 3.49 states/eV/f.u.

Lattice parameters (Å, degrees): 5.2821 5.2821 5.4203 90.00 90.00 90.00
Last column: nearest neighbours and their distance in Å.
Space group P4/mmm (No. 123)
Unique sites:
Y  0.0000  0.5000  0.0000 x2  2 Ta 2.64
Mg  0.0000  0.0000  0.5000 x1  4 Cd 3.73, 8 Y 3.78
Ta  0.5000  0.5000  0.0000 x1  4 Y 2.64, 2 Cd 2.71
Cd  0.5000  0.5000  0.5000 x1  2 Ta 2.71


Verdict on stability: entry 2 comes out on top.


Entry 1
Here is MgTlCd2 at its PBEsol-relaxed geometry from Alexandria. Energies are from SCAN.

Values from the calculation:
- Magnetization: 0.0 μB/f.u.
- DOS(E_F): 1.29 states/eV/f.u.

Lattice parameters (Å, degrees): 3.3585 4.2652 6.3331 90.00 90.00 90.00
Last column: nearest neighbours and their distance in Å.
Space group Pmm2 (No. 25)
Unique sites:
Mg  0.0000  0.0000  0.0000 x1  6 Cd 3.03-3.30, 4 Tl 3.15, 2 Mg 3.36
Tl  0.5000  0.5000  0.2520 x1  4 Mg 3.15, 6 Cd 3.15-3.21, 2 Tl 3.36
Cd  0.0000  0.0000  0.5213 x1  2 Mg 3.03-3.30, 6 Cd 3.09-3.36, 4 Tl 3.21
Cd  0.5000  0.5000  0.7540 x1  6 Cd 3.09-3.36, 4 Mg 3.13, 2 Tl 3.15-3.18


Entry 2
Here is MgTlCd2 at its PBEsol-relaxed geometry from Alexandria. Energies are from SCAN.

Values from the calculation:
- Magnetization: 0.0 μB/f.u.
- DOS(E_F): 1.41 states/eV/f.u.

Lattice parameters (Å, degrees): 3.2866 3.2866 29.7141 90.00 90.00 120.00
Last column: nearest neighbours and their distance in Å.
Space group R-3m (No. 166, hexagonal axes)
Unique sites:
Mg  0.0000  0.0000  0.0000 x3  6 Cd 3.00, 6 Mg 3.29
Tl  0.0000  0.0000  0.5000 x3  6 Cd 3.24, 6 Tl 3.29
Cd  0.0000  0.0000  0.2551 x6  3 Mg 3.00, 3 Tl 3.24, 6 Cd 3.29


Verdict on stability: entry 1 comes out on top.


Entry 1
Here is MgTlCd2 at its PBEsol-relaxed geometry from Alexandria. Energies are from SCAN.

Values from the calculation:
- Magnetization: 0.0 μB/f.u.
- DOS(E_F): 1.21 states/eV/f.u.

Lattice parameters (Å, degrees): 3.2960 4.4225 6.2558 90.00 90.00 90.00
Last column: nearest neighbours and their distance in Å.
Space group Pmmm (No. 47)
Unique sites:
Mg  0.0000  0.0000  0.0000 x1  8 Cd 3.13, 2 Tl 3.13, 2 Mg 3.30
Tl  0.0000  0.0000  0.5000 x1  2 Mg 3.13, 8 Cd 3.21, 2 Tl 3.30
Cd  0.5000  0.5000  0.2359 x2  4 Cd 2.95-3.30, 4 Mg 3.13, 4 Tl 3.21


Entry 2
Here is MgTlCd2 at its PBEsol-relaxed geometry from Alexandria. Energies are from SCAN.

Values from the calculation:
- Magnetization: 0.0 μB/f.u.
- DOS(E_F): 1.27 states/eV/f.u.

Lattice parameters (Å, degrees): 3.7174 3.7174 6.6138 90.00 90.00 90.00
Last column: nearest neighbours and their distance in Å.
Space group P4mm (No. 99)
Unique sites:
Mg  0.0000  0.0000  0.0000 x1  5 Cd 3.07-3.13, 4 Tl 3.14
Tl  0.5000  0.5000  0.2585 x1  4 Mg 3.14, 6 Cd 3.17-3.31
Cd  0.0000  0.0000  0.5264 x1  4 Cd 3.04, 1 Mg 3.13, 4 Tl 3.17
Cd  0.5000  0.5000  0.7588 x1  4 Cd 3.04, 4 Mg 3.07, 2 Tl 3.30-3.31


Entry 3
Here is MgTlCd2 at its PBEsol-relaxed geometry from Alexandria. Energies are from SCAN.

Values from the calculation:
- Magnetization: 0.0 μB/f.u.
- DOS(E_F): 1.56 states/eV/f.u.

Lattice parameters (Å, degrees): 5.9041 9.0381 3.4456 90.00 90.00 90.00
Last column: nearest neighbours and their distance in Å.
Space group Cmmm (No. 65)
Unique sites:
Mg  0.0000  0.0000  0.0000 x2  2 Tl 2.95, 8 Cd 3.20
Tl  0.0000  0.5000  0.0000 x2  2 Mg 2.95, 8 Cd 3.20
Cd  0.2500  0.2500  0.5000 x4  2 Cd 2.95, 4 Tl 3.20, 4 Mg 3.20


Entry 4
Here is MgTlCd2 at its PBEsol-relaxed geometry from Alexandria. Energies are from SCAN.

Values from the calculation:
- Magnetization: 0.0 μB/f.u.
- DOS(E_F): 1.34 states/eV/f.u.

Lattice parameters (Å, degrees): 4.5241 4.5241 8.7935 90.00 90.00 90.00
Last column: nearest neighbours and their distance in Å.
Space group I-4m2 (No. 119)
Unique sites:
Mg  0.0000  0.0000  0.0000 x2  8 Cd 3.15-3.20, 4 Tl 3.15
Tl  0.0000  0.5000  0.2500 x2  8 Cd 3.15-3.20, 4 Mg 3.15
Cd  0.0000  0.0000  0.5000 x2  4 Cd 3.15, 4 Tl 3.15, 4 Mg 3.20
Cd  0.0000  0.5000  0.7500 x2  4 Cd 3.15, 4 Mg 3.15, 4 Tl 3.20


Verdict on stability: entry 3 comes out on top.


Entry 1
Here is MgTlCd2 at its PBEsol-relaxed geometry from Alexandria. Energies are from SCAN.

Values from the calculation:
- Magnetization: 0.0 μB/f.u.
- DOS(E_F): 1.46 states/eV/f.u.

Lattice parameters (Å, degrees): 3.3453 4.8909 5.6437 90.00 90.14 90.00
Last column: nearest neighbours and their distance in Å.
Space group Pm (No. 6)
Unique sites:
Mg  0.0000  0.0000  0.0000 x1  2 Tl 3.09, 8 Cd 3.10-3.43, 2 Mg 3.35
Tl  0.9955  0.5000  0.3348 x1  2 Mg 3.09, 8 Cd 3.16-3.30, 2 Tl 3.35
Cd  0.4958  0.0000  0.5291 x1  4 Cd 3.01-3.35, 2 Mg 3.14, 4 Tl 3.16
Cd  0.4991  0.5000  0.8387 x1  4 Cd 3.01-3.35, 4 Mg 3.10, 4 Tl 3.25-3.30


Entry 2
Here is MgTlCd2 at its PBEsol-relaxed geometry from Alexandria. Energies are from SCAN.

Values from the calculation:
- Magnetization: 0.0 μB/f.u.
- DOS(E_F): 1.41 states/eV/f.u.

Lattice parameters (Å, degrees): 10.2612 3.1895 5.7077 90.00 102.70 90.00
Last column: nearest neighbours and their distance in Å.
Space group Cm (No. 8)
Unique sites:
Mg  0.0000  0.0000  0.0000 x2  7 Cd 3.05-3.38, 3 Tl 3.11-3.13, 2 Mg 3.19
Tl  0.2458  0.0000  0.7577 x2  3 Mg 3.11-3.13, 7 Cd 3.19-3.28, 2 Tl 3.19
Cd  0.2430  0.5000  0.2552 x2  5 Cd 3.03-3.19, 3 Mg 3.05-3.28, 4 Tl 3.26-3.28
Cd  0.4906  0.0000  0.4743 x2  5 Cd 3.03-3.19, 4 Mg 3.16-3.38, 3 Tl 3.19-3.27


Entry 3
Here is MgTlCd2 at its PBEsol-relaxed geometry from Alexandria. Energies are from SCAN.

Values from the calculation:
- Magnetization: 0.0 μB/f.u.
- DOS(E_F): 1.13 states/eV/f.u.

Lattice parameters (Å, degrees): 4.3852 4.3852 9.3959 90.00 90.00 90.00
Last column: nearest neighbours and their distance in Å.
Space group I4/mmm (No. 139)
Unique sites:
Mg  0.0000  0.0000  0.0000 x2  4 Tl 3.10, 8 Cd 3.21
Tl  0.0000  0.0000  0.5000 x2  4 Mg 3.10, 8 Cd 3.21
Cd  0.0000  0.5000  0.2500 x4  4 Cd 3.10, 4 Tl 3.21, 4 Mg 3.21


Entry 4
Here is MgTlCd2 at its PBEsol-relaxed geometry from Alexandria. Energies are from SCAN.

Values from the calculation:
- Magnetization: 0.0 μB/f.u.
- DOS(E_F): 1.46 states/eV/f.u.

Lattice parameters (Å, degrees): 3.2239 3.2239 8.8247 90.00 90.00 90.00
Last column: nearest neighbours and their distance in Å.
Space group P4/mmm (No. 123)
Unique sites:
Mg  0.0000  0.0000  0.0000 x1  8 Cd 3.03, 4 Mg 3.22
Tl  0.0000  0.0000  0.5000 x1  4 Tl 3.22, 8 Cd 3.32
Cd  0.5000  0.5000  0.2262 x2  4 Mg 3.03, 4 Cd 3.22, 4 Tl 3.32


Verdict on stability: entry 4 comes out on top.


Entry 1
Here is Mg2ZnCd at its PBEsol-relaxed geometry from Alexandria. Energies are from SCAN.

Values from the calculation:
- Magnetization: 0.0 μB/f.u.
- DOS(E_F): 1.23 states/eV/f.u.

Lattice parameters (Å, degrees): 6.7287 6.7287 6.7287 90.00 90.00 90.00
Last column: nearest neighbours and their distance in Å.
Space group Fm-3m (No. 225)
Unique sites:
Mg  0.2500  0.2500  0.2500 x8  4 Cd 2.91, 4 Zn 2.91
Zn  0.0000  0.0000  0.0000 x4  8 Mg 2.91
Cd  0.0000  0.0000  0.5000 x4  8 Mg 2.91


Entry 2
Here is Mg2ZnCd at its PBEsol-relaxed geometry from Alexandria. Energies are from SCAN.

Values from the calculation:
- Magnetization: 0.0 μB/f.u.
- DOS(E_F): 1.29 states/eV/f.u.

Lattice parameters (Å, degrees): 10.5706 3.1043 5.0922 90.00 111.98 90.00
Last column: nearest neighbours and their distance in Å.
Space group Cm (No. 8)
Unique sites:
Mg  0.0000  0.0000  0.0000 x2  4 Zn 2.89-3.09, 3 Cd 2.94-2.98, 5 Mg 3.10-3.22
Mg  0.2243  0.0000  0.6299 x2  3 Zn 2.86-3.01, 4 Cd 2.99-3.01, 3 Mg 3.10-3.20
Zn  0.4816  0.0000  0.5085 x2  2 Cd 2.83, 7 Mg 2.86-3.09, 2 Zn 3.10
Cd  0.2587  0.5000  0.1539 x2  2 Zn 2.83, 7 Mg 2.94-3.01, 2 Cd 3.10


Verdict on stability: entry 1 comes out on top.


Entry 1
Here is MnCd2Mo at its PBEsol-relaxed geometry from Alexandria. Energies are from SCAN.

Values from the calculation:
- Magnetization: 2.5 μB/f.u.
- DOS(E_F): 3.31 states/eV/f.u.

Lattice parameters (Å, degrees): 3.9025 3.9025 8.7173 90.00 90.00 90.00
Last column: nearest neighbours and their distance in Å.
Space group I4/mmm (No. 139)
Unique sites:
Mn  0.0000  0.0000  0.0000 x2  4 Mo 2.76, 8 Cd 2.93
Cd  0.0000  0.5000  0.2500 x4  4 Cd 2.76, 4 Mn 2.93, 4 Mo 2.93
Mo  0.0000  0.0000  0.5000 x2  4 Mn 2.76, 8 Cd 2.93


Entry 2
Here is MnCd2Mo at its PBEsol-relaxed geometry from Alexandria. Energies are from SCAN.

Values from the calculation:
- Magnetization: 3.1 μB/f.u.
- DOS(E_F): 2.04 states/eV/f.u.

Lattice parameters (Å, degrees): 2.7610 4.2909 5.6133 90.00 90.00 90.00
Last column: nearest neighbours and their distance in Å.
Space group Pmmm (No. 47)
Unique sites:
Mn  0.0000  0.0000  0.0000 x1  2 Mn 2.76, 2 Mo 2.81, 8 Cd 2.90
Cd  0.5000  0.5000  0.2462 x2  4 Cd 2.76-2.85, 4 Mn 2.90, 4 Mo 2.92
Mo  0.0000  0.0000  0.5000 x1  2 Mo 2.76, 2 Mn 2.81, 8 Cd 2.92


Entry 3
Here is MnCd2Mo at its PBEsol-relaxed geometry from Alexandria. Energies are from SCAN.

Values from the calculation:
- Magnetization: 1.6 μB/f.u.
- DOS(E_F): 2.29 states/eV/f.u.

Lattice parameters (Å, degrees): 6.4839 6.4839 6.4839 90.00 90.00 90.00
Last column: nearest neighbours and their distance in Å.
Space group Fm-3m (No. 225)
Unique sites:
Mn  0.0000  0.0000  0.0000 x4  8 Cd 2.81
Cd  0.2500  0.2500  0.2500 x8  4 Mn 2.81, 4 Mo 2.81
Mo  0.0000  0.0000  0.5000 x4  8 Cd 2.81


Verdict on stability: entry 2 comes out on top.